Here is MnMoIrO6 after structural relaxation from Alexandria via LeMat-Bulk. Energies are from PBE+U.

Geometry as POSCAR:
```
MnMoIrO6
1.0
-0.7596 -3.6341 2.7923
4.5828 -0.6274 0.4300
0.0833 5.7790 7.5437
Mo Ir O Mn
2 2 12 2
Direct
0.0000 0.0000 0.6668
0.5000 0.5000 0.1668
0.0000 0.0000 0.3334
0.5000 0.5000 0.8334
0.7983 0.2017 0.1743
0.7021 0.7021 0.3267
0.6904 0.6904 0.9995
0.7017 0.7017 0.6743
0.3096 0.3096 0.9995
0.1904 0.8096 0.4995
0.7979 0.2021 0.8267
0.2017 0.7983 0.1743
0.2983 0.2983 0.6743
0.2021 0.7979 0.8267
0.8096 0.1904 0.4995
0.2979 0.2979 0.3267
0.0000 0.0000 0.9987
0.5000 0.5000 0.4987
```

crystal system: tetragonal
total DFT energy (no corrections): -7.226 eV/atom
total magnetic moment: 4.0 μB/f.u.
D(E_F): 3.0 states/eV/f.u.